1) A plane-wave DFT calculation with GGA-PBE was carried out for a geometry-optimized BaCrRu2 structure.

Properties
The value obtained for the volume is 20.57 A^3/atom. Its density of states at the Fermi level is 1.0850 states/eV/atom.

a b c (Å): 5.9496 5.9496 5.9496
angles (deg): 150.24 127.44 61.57
Positions (direct):
Ba 0.5057 0.5057 0.0000
Cr 0.2111 0.7111 0.5000
Ru 0.9927 0.9927 0.0000
Ru 0.7905 0.2905 0.5000

---

2) A plane-wave DFT calculation with GGA-PBE was carried out for a geometry-optimized BaCrRu2 structure.

Properties
The value obtained for the volume is 18.14 A^3/atom. Its density of states at the Fermi level is 1.3521 states/eV/atom.

a b c (Å): 4.6820 4.6820 4.6820
angles (deg): 60.00 60.00 60.00
Positions (direct):
Ru 0.2500 0.2500 0.2500
Ru 0.7500 0.7500 0.7500
Ba 0.5000 0.5000 0.5000
Cr 0.0000 0.0000 0.0000

---

3) A plane-wave DFT calculation with GGA-PBE was carried out for a geometry-optimized BaCrRu2 structure.

Properties
The value obtained for the volume is 19.07 A^3/atom. Its density of states at the Fermi level is 1.5639 states/eV/atom.

a b c (Å): 5.4208 5.5406 3.0233
angles (deg): 77.07 84.25 117.51
Positions (direct):
Ba 0.0000 0.5000 0.5000
Cr 0.5000 0.5000 0.0000
Ru 0.0000 0.0000 0.0000
Ru 0.5000 0.0000 0.5000

---

So which one is most stable? That would be 1), about 207 meV per atom below the next structure.